No. 1
The following is a PBE calculation of a geometry-optimized Ca2ZnFe structure, from Alexandria via LeMat-Bulk.

VASP energy	-3.2577	eV per atom
energy of formation	0.177	eV/atom

a = 3.437 Å, b = 3.437 Å, c = 8.237 Å
α = 90.00°, β = 90.00°, γ = 90.00°
Fractional positions:
Ca (0.000, 0.000, 0.000)
Ca (0.500, 0.500, 0.392)
Zn (0.500, 0.500, 0.749)
Fe (0.000, 0.000, 0.638)

***

No. 2
The following is a PBE calculation of a geometry-optimized Li3Ce2Tl4 structure, from Alexandria via LeMat-Bulk.

energy above the lowest structure with this stoichiometry	0.021	eV per atom
VASP energy	-3.2000	eV per atom
energy of formation	-0.192	eV/atom

a = 8.814 Å, b = 8.814 Å, c = 8.058 Å
α = 90.00°, β = 90.00°, γ = 135.49°
Fractional positions:
Li (0.000, 0.000, 0.000)
Li (0.025, 0.475, 0.250)
Li (0.475, 0.025, 0.750)
Li (0.500, 0.500, 0.500)
Li (0.525, 0.975, 0.250)
Li (0.975, 0.525, 0.750)
Ce (0.117, 0.883, 0.424)
Ce (0.383, 0.617, 0.924)
Ce (0.617, 0.383, 0.076)
Ce (0.883, 0.117, 0.576)
Tl (0.174, 0.826, 0.028)
Tl (0.205, 0.295, 0.250)
Tl (0.295, 0.205, 0.750)
Tl (0.326, 0.674, 0.528)
Tl (0.674, 0.326, 0.472)
Tl (0.705, 0.795, 0.250)
Tl (0.795, 0.705, 0.750)
Tl (0.826, 0.174, 0.972)